# Cu2AsRu, relaxed, DFT PBE-GGA
# Energy of formation: 0.149 eV/atom
# V: 13.43 Å³/atom
data_Cu2AsRu
_chemical_formula_sum 'Cu8 As4 Ru4'
_symmetry_space_group_name_H-M 'F -4 3 m'
_symmetry_Int_Tables_number 216
_symmetry_space_group_name_Hall 'F -4 2 3'
_cell_length_a 5.9898
_cell_length_b 5.9898
_cell_length_c 5.9898
_cell_angle_alpha 90.00
_cell_angle_beta 90.00
_cell_angle_gamma 90.00
loop_
_atom_site_label
_atom_site_fract_x
_atom_site_fract_y
_atom_site_fract_z
_atom_site_occupancy
Cu1 0.0000 0.0000 0.0000 1
Cu2 0.2500 0.2500 0.2500 1
As1 0.2500 0.2500 0.7500 1
Ru1 0.0000 0.0000 0.5000 1